The following is a PBE calculation of a relaxed LiCaAu4 crystal, from Alexandria.

Unit cell a=6.031 b=6.031 c=7.281 alpha=90.00 beta=90.00 gamma=90.00
Space group P4/mbm (No. 127)
Inequivalent atoms, fractional coordinates:
Li1 0.000 0.000 0.000 (multiplicity 2)
Ca1 0.000 0.500 0.500 (multiplicity 2)
Au1 0.000 0.000 0.318 (multiplicity 4)
Au2 0.155 0.345 0.000 (multiplicity 4)

Values from the calculation:
E above lowest polymorph	339	meV/atom
Fermi-level density of states	0.251	states/eV per atom
calculated formation energy	-0.1681	eV per atom